The following is a PBE-GGA calculation of crystalline Ni3PdN at its relaxed geometry, from the Alexandria database.

Results
The calculation puts the theoretical density at 8.84 g cm⁻³. The density of states at the Fermi level is 9.550 states/eV/cell. The calculation puts the uncorrected formation energy at 0.073 eV per atom.

Cell: 4.3510 5.3331 5.4899 Å, 119.01 91.67 90.01°
Space group P-1 (No. 2)
Asymmetric unit:
Ni 0.2320 0.1634 0.3274 x2
Ni 0.2524 0.1718 0.8439 x2
Ni 0.2521 0.6721 0.8443 x2
Pd 0.2575 0.6828 0.3666 x2
N 0.0000 0.0000 0.0000 x1
N 0.5000 0.5000 0.0000 x1

The following is a PBE-GGA calculation of crystalline Sr2HO at its relaxed geometry, from the Alexandria database.

Results
The calculation puts the theoretical density at 3.24 g cm⁻³. As for the total energy: -4.2888 eV per atom. The density of states at the Fermi level is 4.979 states/eV/cell.

Cell: 5.9364 5.9364 11.1811 Å, 90.00 90.00 90.00°
Space group I-42d (No. 122)
Asymmetric unit:
Sr 0.2194 0.2500 0.1250 x8
H 0.0000 0.0000 0.5000 x4
O 0.0000 0.0000 0.0000 x4

The following is a PBE-GGA calculation of crystalline CaLaBr2 at its relaxed geometry, from the Alexandria database.

Results
The calculation puts the theoretical density at 4.02 g cm⁻³. The density of states at the Fermi level is 2.773 states/eV/cell. The calculation puts the uncorrected formation energy at -1.295 eV per atom.

Cell: 3.8499 3.8499 9.4513 Å, 90.00 90.00 90.00°
Space group P4mm (No. 99)
Asymmetric unit:
Ca 0.0000 0.0000 0.0000 x1
La 0.5000 0.5000 0.3263 x1
Br 0.0000 0.0000 0.4895 x1
Br 0.5000 0.5000 0.8518 x1

The following is a PBE-GGA calculation of crystalline AcTb3Pr7 at its relaxed geometry, from the Alexandria database.

Results
The calculation puts the theoretical density at 6.81 g cm⁻³. The formation energy is 4.42 kcal/mol of atoms. The density of states at the Fermi level is 16.818 states/eV/cell.

Cell: 7.3549 7.3549 8.7970 Å, 90.00 90.00 120.00°
Space group P3m1 (No. 156)
Asymmetric unit:
Ac 0.0000 0.0000 0.0000 x1
Tb 0.1681 0.3361 0.3441 x3
Pr 0.9998 0.4999 0.0178 x3
Pr 0.3333 0.6667 0.6829 x1
Pr 0.3356 0.1678 0.6629 x3

The following is a PBE-GGA calculation of crystalline YGa4Fe at its relaxed geometry, from the Alexandria database.

Results
The calculation puts the theoretical density at 6.36 g cm⁻³. The formation energy is -7.43 kcal/mol of atoms. The density of states at the Fermi level is 6.304 states/eV/cell.

Cell: 4.6921 6.3810 14.7875 Å, 90.00 90.00 90.00°
Space group Immm (No. 71)
Asymmetric unit:
Y 0.0000 0.0000 0.2075 x4
Ga 0.0000 0.1825 0.0000 x4
Ga 0.0000 0.2563 0.3916 x8
Ga 0.0000 0.5000 0.1530 x4
Fe 0.2403 0.0000 0.5000 x4

The following is a PBE-GGA calculation of crystalline Ho2Er2In3 at its relaxed geometry, from the Alexandria database.

Results
The calculation puts the theoretical density at 8.89 g cm⁻³. The formation energy is -9.15 kcal/mol of atoms. The density of states at the Fermi level is 11.147 states/eV/cell.

Cell: 30.6109 3.5200 3.5199 Å, 90.00 96.56 90.00°
Space group C2/m (No. 12)
Asymmetric unit:
Ho 0.0697 0.0000 0.0698 x4
Er 0.2088 0.0000 0.2092 x4
In 0.0000 0.5000 0.5000 x2
In 0.1394 0.5000 0.6397 x4

The following is a PBE-GGA calculation of crystalline Cs4In3HgBr12 at its relaxed geometry, from the Alexandria database.

Results
The calculation puts the theoretical density at 4.44 g cm⁻³. The density of states at the Fermi level is 8.201 states/eV/cell. The calculation puts the uncorrected formation energy at -1.163 eV per atom.

Cell: 11.5065 11.5065 11.5065 Å, 90.00 90.00 90.00°
Space group Im-3m (No. 229)
Asymmetric unit:
Cs 0.2500 0.2500 0.2500 x8
In 0.0000 0.0000 0.5000 x6
Hg 0.0000 0.0000 0.0000 x2
Br 0.0000 0.0000 0.2645 x12
Br 0.0000 0.2500 0.5000 x12

The following is a PBE-GGA calculation of crystalline Ta3NiRu at its relaxed geometry, from the Alexandria database.

Results
The calculation puts the theoretical density at 12.51 g cm⁻³. The formation energy is 22.55 kcal/mol of atoms. The density of states at the Fermi level is 6.300 states/eV/cell.

Cell: 4.5349 4.5349 4.5349 Å, 90.00 90.00 90.00°
Space group Pm-3m (No. 221)
Asymmetric unit:
Ta 0.0000 0.0000 0.5000 x3
Ni 0.0000 0.0000 0.0000 x1
Ru 0.5000 0.5000 0.5000 x1